No. 1
Compound: Bi4ClO5
Source: the Alexandria database
Functional: PBE
Structure: optimized geometry

a b c (Å): 6.1691 8.1972 8.4128
angles (deg): 90.00 90.00 90.00
With the nearest neighbours (Å) after each atom.
Element x y z (fractional)
Cl1 0.3018 0.5000 0.5000  2 Bi 2.80
Cl2 0.6982 0.0000 0.0000  2 Bi 2.80
Bi1 0.4430 0.2823 0.0000  2 O 2.15
Bi2 0.4430 0.7177 0.0000  2 O 2.15
Bi3 0.0461 0.0000 0.7268  3 O 2.16-2.17
Bi4 0.9539 0.5000 0.2268  3 O 2.16-2.17
Bi5 0.5570 0.7823 0.5000  2 O 2.15
Bi6 0.5570 0.2177 0.5000  2 O 2.15
Bi7 0.9539 0.5000 0.7732  3 O 2.16-2.17
Bi8 0.0461 0.0000 0.2732  3 O 2.16-2.17
O1 0.7574 0.2969 0.6939  2 Bi 2.15-2.16
O2 0.7574 0.7031 0.3061  2 Bi 2.15-2.16
O3 0.2145 0.0000 0.5000  2 Bi 2.17
O4 0.2426 0.2031 0.8061  2 Bi 2.15-2.16
O5 0.2426 0.2031 0.1939  2 Bi 2.15-2.16
O6 0.7574 0.7031 0.6939  2 Bi 2.15-2.16
O7 0.7855 0.5000 0.0000  2 Bi 2.17
O8 0.2426 0.7969 0.8061  2 Bi 2.15-2.16
O9 0.2426 0.7969 0.1939  2 Bi 2.15-2.16
O10 0.7574 0.2969 0.3061  2 Bi 2.15-2.16

Computed properties:
Final energy, eV per atom: -5.215

***

No. 2
Compound: Bi6ClO8
Source: the Alexandria database
Functional: PBE
Structure: optimized geometry

a b c (Å): 6.9657 6.9657 8.0604
angles (deg): 64.40 64.40 60.00
With the nearest neighbours (Å) after each atom.
Element x y z (fractional)
O1 0.8032 0.1587 0.6097  3 Bi 2.25-2.35
O2 0.4284 0.8032 0.6097  3 Bi 2.25-2.35
O3 0.8413 0.5716 0.3903  3 Bi 2.25-2.35
O4 0.1968 0.8413 0.3903  3 Bi 2.25-2.35
O5 0.6140 0.6140 0.1581  3 Bi 2.29
O6 0.5716 0.1968 0.3903  3 Bi 2.25-2.35
O7 0.1587 0.4284 0.6097  3 Bi 2.25-2.35
O8 0.3860 0.3860 0.8419  3 Bi 2.29
Bi1 0.7199 0.4517 0.7137  4 O 2.25-2.35
Bi2 0.2801 0.5483 0.2863  4 O 2.25-2.35
Bi3 0.4517 0.1147 0.7137  4 O 2.25-2.35
Bi4 0.5483 0.8853 0.2863  4 O 2.25-2.35
Bi5 0.1147 0.7199 0.7137  4 O 2.25-2.35
Bi6 0.8853 0.2801 0.2863  4 O 2.25-2.35
Cl1 0.0000 0.0000 0.0000  6 Bi 3.24, 6 O 3.49

Computed properties:
Final energy, eV per atom: -5.444

***

No. 3
Compound: Bi2ClO
Source: the Alexandria database
Functional: PBE
Structure: optimized geometry

a b c (Å): 4.9211 4.9211 4.9211
angles (deg): 60.00 60.00 60.00
With the nearest neighbours (Å) after each atom.
Element x y z (fractional)
O1 0.0000 0.0000 0.0000  8 Bi 3.01
Bi1 0.2500 0.2500 0.2500  4 O 3.01, 4 Cl 3.01
Bi2 0.7500 0.7500 0.7500  4 Cl 3.01, 4 O 3.01
Cl1 0.5000 0.5000 0.5000  8 Bi 3.01

Computed properties:
Final energy, eV per atom: -3.574
E above lowest polymorph, eV per atom: 0.511

***

No. 4
Compound: BiCl3O
Source: the Alexandria database
Functional: PBE
Structure: optimized geometry

a b c (Å): 5.4185 5.4185 5.4185
angles (deg): 90.00 90.00 90.00
With the nearest neighbours (Å) after each atom.
Element x y z (fractional)
Cl1 0.5000 0.0000 0.0000  2 Bi 2.71
Cl2 0.0000 0.5000 0.0000  2 Bi 2.71
Cl3 0.0000 0.0000 0.5000  2 Bi 2.71
Bi1 0.0000 0.0000 0.0000  6 Cl 2.71
O1 0.5000 0.5000 0.5000  12 Cl 3.83

Computed properties:
Final energy, eV per atom: -2.939
E above lowest polymorph, eV per atom: 0.103

***

No. 5
Compound: BiCl3O
Source: the Alexandria database
Functional: PBE
Structure: optimized geometry

a b c (Å): 8.2607 8.2607 8.2607
angles (deg): 52.90 52.90 52.90
With the nearest neighbours (Å) after each atom.
Element x y z (fractional)
Bi1 0.3331 0.3331 0.3331  6 Cl 2.75
Bi2 0.6669 0.6669 0.6669  6 Cl 2.75
Cl1 0.9171 0.4181 0.4181  2 Bi 2.75
Cl2 0.0829 0.5819 0.5819  2 Bi 2.75
Cl3 0.4181 0.9171 0.4181  2 Bi 2.75
Cl4 0.4181 0.4181 0.9171  2 Bi 2.75
Cl5 0.5819 0.0829 0.5819  2 Bi 2.75
Cl6 0.5819 0.5819 0.0829  2 Bi 2.75
O1 0.9063 0.9063 0.9063  9 Cl 3.69-3.97, 1 O 3.98
O2 0.0937 0.0937 0.0937  9 Cl 3.69-3.97, 1 O 3.98

Computed properties:
Final energy, eV per atom: -3.042
E above lowest polymorph, eV per atom: 0.000

***

No. 6
Compound: Bi2Cl3O
Source: the Alexandria database
Functional: PBE
Structure: optimized geometry

a b c (Å): 3.9029 8.3127 10.5868
angles (deg): 70.57 79.38 76.42
With the nearest neighbours (Å) after each atom.
Element x y z (fractional)
O1 0.4156 0.4921 0.6766  4 Bi 2.35-2.46
O2 0.5844 0.5079 0.3234  4 Bi 2.35-2.46
Cl1 0.3414 0.3036 0.0136  3 Bi 2.91-3.00
Cl2 0.6586 0.6964 0.9864  3 Bi 2.91-3.00
Cl3 0.2268 0.1710 0.3753  3 Bi 2.94-2.95, 2 O 3.26
Cl4 0.7732 0.8290 0.6247  3 Bi 2.94-2.95, 2 O 3.26
Cl5 0.9592 0.8476 0.2339  3 Bi 2.71-3.02
Cl6 0.0408 0.1524 0.7661  3 Bi 2.71-3.02
Bi1 0.5842 0.2935 0.5381  2 O 2.38-2.46
Bi2 0.4158 0.7065 0.4619  2 O 2.38-2.46
Bi3 0.8625 0.4685 0.8064  2 O 2.35
Bi4 0.1375 0.5315 0.1936  2 O 2.35

Computed properties:
Final energy, eV per atom: -3.933

***

No. 7
Compound: BiCl2O
Source: the Alexandria database
Functional: PBE
Structure: optimized geometry

a b c (Å): 4.7513 4.7513 4.7513
angles (deg): 60.00 60.00 60.00
With the nearest neighbours (Å) after each atom.
Element x y z (fractional)
O1 0.0000 0.0000 0.0000  8 Cl 2.91
Bi1 0.5000 0.5000 0.5000  8 Cl 2.91
Cl1 0.2500 0.2500 0.2500  4 O 2.91, 4 Bi 2.91
Cl2 0.7500 0.7500 0.7500  4 O 2.91, 4 Bi 2.91

Computed properties:
Final energy, eV per atom: -3.153
E above lowest polymorph, eV per atom: 0.581

***

No. 8
Compound: Bi4Cl3O4
Source: the Alexandria database
Functional: PBE
Structure: optimized geometry

a b c (Å): 3.4680 9.3451 8.5798
angles (deg): 123.00 101.66 90.00
With the nearest neighbours (Å) after each atom.
Element x y z (fractional)
O1 0.6427 0.7967 0.2854  3 Bi 2.24-2.37
O2 0.3573 0.5113 0.7146  3 Bi 2.24-2.37
O3 0.3573 0.2033 0.7146  3 Bi 2.24-2.37
O4 0.6427 0.4887 0.2854  3 Bi 2.24-2.37
Bi1 0.5000 0.2372 0.0000  2 O 2.24
Bi2 0.1949 0.6949 0.3898  4 O 2.37
Bi3 0.8051 0.3051 0.6102  4 O 2.37
Bi4 0.5000 0.7628 0.0000  2 O 2.24
Cl1 0.8784 0.8784 0.7568  6 Bi 3.09-3.29, 1 Cl 3.40
Cl2 0.0000 0.5000 0.0000  6 Bi 2.72-3.01, 8 O 3.01
Cl3 0.1216 0.1216 0.2432  6 Bi 3.09-3.29, 1 Cl 3.40

Computed properties:
Final energy, eV per atom: -4.598

***

Listing energy relative to the elements, uncorrected for the structures above in their given order: -998, -1124, 68, -63, -166, -890, -20, -880 meV/atom.
Listing spin magnetization for the structures above in their given order: 0.0, 0.0, 0.0, 2.0, 2.0, 0.0, 1.0, 0.0 μB per formula unit.